# Ta4CrRe

A relaxed Ta4CrRe crystal (GGA-PBE, Alexandria).

Cell and atoms, written as CIF:
```
data_Ta4CrRe
_chemical_formula_sum 'Ta4 Cr1 Re1'
_cell_length_a 4.336
_cell_length_b 4.336
_cell_length_c 6.133
_cell_angle_alpha 90.00
_cell_angle_beta 90.00
_cell_angle_gamma 90.00
_space_group_name_H-M_alt 'P 4/m m m'
_space_group_IT_number 123
_space_group_name_Hall '-P 4 2'
loop_
_atom_site_label
_atom_site_fract_x
_atom_site_fract_y
_atom_site_fract_z
Ta1 0.000 0.500 0.242
Cr1 0.000 0.000 0.000
Re1 0.500 0.500 0.500
```

Summary:
ΔH_f (0 K): 0.41 eV per atom
distance to the lowest polymorph of the same formula: 3.53 eV/f.u.